(1)
A plane-wave DFT calculation with PBE was carried out for crystalline La3Ho12Sc at its relaxed geometry.

Results
VASP energy in eV for the cell shown: -75.42
Density of states at the Fermi level in states/eV/atom: 1.5702

Structure (POSCAR):
```
La3Ho12Sc
1.0
5.030 0.000 0.000
0.000 5.030 0.000
0.000 0.000 20.081
Ho Sc La
12 1 3
Direct
0.000 0.500 0.118
0.500 0.500 0.500
0.500 0.000 0.118
0.000 0.500 0.627
0.000 0.500 0.882
0.000 0.500 0.373
0.500 0.000 0.373
0.500 0.500 0.755
0.500 0.000 0.882
0.500 0.000 0.627
0.500 0.500 0.000
0.500 0.500 0.245
0.000 0.000 0.000
0.000 0.000 0.752
0.000 0.000 0.500
0.000 0.000 0.248
```

=====

(2)
A plane-wave DFT calculation with PBE was carried out for crystalline TlGaHgGe at its relaxed geometry.

Results
VASP energy in eV for the cell shown: -9.58
Density of states at the Fermi level in states/eV/atom: 0.3351

Structure (POSCAR):
```
TlGaHgGe
1.0
5.143 0.000 0.000
2.572 4.454 0.000
2.572 1.485 4.200
Hg Ga Tl Ge
1 1 1 1
Direct
0.500 0.500 0.500
0.250 0.250 0.250
0.750 0.750 0.750
0.000 0.000 0.000
```